This record from the Alexandria database describes a relaxed HoTlZn2 crystal. The functional is PBE.

The structure in CIF format:
```
data_HoTlZn2
_chemical_formula_sum 'Ho1 Tl1 Zn2'
_symmetry_space_group_name_H-M 'P 1'
_symmetry_Int_Tables_number 1
_cell_length_a 4.935
_cell_length_b 4.935
_cell_length_c 4.935
_cell_angle_alpha 60.00
_cell_angle_beta 60.00
_cell_angle_gamma 60.00
loop_
_symmetry_equiv_pos_as_xyz
'x,y,z'
loop_
_atom_site_label
_atom_site_type_symbol
_atom_site_fract_x
_atom_site_fract_y
_atom_site_fract_z
Ho1 Ho 0.000 0.000 0.000
Tl1 Tl 0.500 0.500 0.500
Zn1 Zn 0.250 0.250 0.250
Zn2 Zn 0.750 0.750 0.750
```

Values from the calculation:
- Energy relative to the elements: -3.15 kcal/mol of atoms
- Spin magnetization: 0.000 μB per formula unit
- Space-group type: Fm-3m, No. 225
- Mass density: 9.77 g/cm³
- Volume: 21.25 A^3/atom